A plane-wave DFT calculation with SCAN was carried out for a PBEsol-optimized structure of ReSiRu2.

Lattice parameters (Å, degrees): 8.414 8.414 8.414 18.69 18.69 18.69
Fractional positions:
Re  0.000  0.000  0.000
Si  0.500  0.500  0.500
Ru  0.245  0.245  0.245
Ru  0.755  0.755  0.755

Computed properties:
SG: R-3m (166)
Total energy, eV/cell: -151.43
Crystal system: trigonal
Fermi-level density of states, states/eV/f.u.: 2.63
ΔE_f (raw), eV per atom: -0.165